Here is a geometry-optimized MgPaSn structure from Alexandria. Energies are from GGA-PBE.

```
data_MgPaSn
_chemical_formula_sum 'Mg1 Pa1 Sn1'
_symmetry_space_group_name_H-M 'P 1'
_symmetry_Int_Tables_number 1
_cell_length_a 3.349
_cell_length_b 5.023
_cell_length_c 5.023
_cell_angle_alpha 120.00
_cell_angle_beta 90.00
_cell_angle_gamma 90.00
loop_
_symmetry_equiv_pos_as_xyz
'x,y,z'
loop_
_atom_site_label
_atom_site_type_symbol
_atom_site_fract_x
_atom_site_fract_y
_atom_site_fract_z
Pa1 Pa 0.667 0.333 0.667
Sn1 Sn 0.166 0.000 0.000
Mg1 Mg 0.167 0.667 0.333
```

Properties
The value obtained for the formation energy is -0.04 eV per atom. As for the density of states at the Fermi level: 4.69 states/eV per cell.

=====

Here is a geometry-optimized NdTm6In4 structure from Alexandria. Energies are from GGA-PBE.

```
data_NdTm6In4
_chemical_formula_sum 'Nd1 Tm6 In4'
_symmetry_space_group_name_H-M 'P 1'
_symmetry_Int_Tables_number 1
_cell_length_a 3.702
_cell_length_b 9.982
_cell_length_c 9.982
_cell_angle_alpha 120.00
_cell_angle_beta 90.00
_cell_angle_gamma 90.00
loop_
_symmetry_equiv_pos_as_xyz
'x,y,z'
loop_
_atom_site_label
_atom_site_type_symbol
_atom_site_fract_x
_atom_site_fract_y
_atom_site_fract_z
In1 In 0.500 0.330 0.165
In2 In 0.000 0.333 0.667
In3 In 0.500 0.835 0.670
In4 In 0.500 0.835 0.165
Tm1 Tm 0.500 0.619 0.810
Tm2 Tm 0.000 0.928 0.464
Tm3 Tm 0.000 0.536 0.072
Tm4 Tm 0.500 0.190 0.810
Tm5 Tm 0.000 0.536 0.464
Tm6 Tm 0.500 0.190 0.381
Nd1 Nd 0.000 0.000 0.000
```

Properties
The value obtained for the formation energy is -0.28 eV per atom. As for the density of states at the Fermi level: 10.22 states/eV per cell.

=====

Here is a geometry-optimized LiPmScTe3 structure from Alexandria. Energies are from GGA-PBE.

```
data_LiPmScTe3
_chemical_formula_sum 'Li2 Pm2 Sc2 Te6'
_symmetry_space_group_name_H-M 'P 1'
_symmetry_Int_Tables_number 1
_cell_length_a 4.215
_cell_length_b 8.608
_cell_length_c 9.459
_cell_angle_alpha 104.55
_cell_angle_beta 90.00
_cell_angle_gamma 90.00
loop_
_symmetry_equiv_pos_as_xyz
'x,y,z'
loop_
_atom_site_label
_atom_site_type_symbol
_atom_site_fract_x
_atom_site_fract_y
_atom_site_fract_z
Pm1 Pm 0.250 0.194 0.240
Pm2 Pm 0.750 0.806 0.760
Sc1 Sc 0.750 0.331 0.840
Sc2 Sc 0.250 0.669 0.160
Te1 Te 0.750 0.246 0.509
Te2 Te 0.750 0.902 0.122
Te3 Te 0.250 0.098 0.878
Te4 Te 0.250 0.754 0.491
Te5 Te 0.750 0.435 0.163
Te6 Te 0.250 0.565 0.837
Li1 Li 0.750 0.912 0.411
Li2 Li 0.250 0.088 0.589
```

Properties
As for the density of states at the Fermi level: 6.72 states/eV per cell. Its uncorrected formation energy is -1.2103 eV/atom.

=====

Here is a geometry-optimized FeSb2Pd structure from Alexandria. Energies are from GGA-PBE.

```
data_FeSb2Pd
_chemical_formula_sum 'Fe1 Sb2 Pd1'
_symmetry_space_group_name_H-M 'P 1'
_symmetry_Int_Tables_number 1
_cell_length_a 4.673
_cell_length_b 4.673
_cell_length_c 4.673
_cell_angle_alpha 60.00
_cell_angle_beta 60.00
_cell_angle_gamma 60.00
loop_
_symmetry_equiv_pos_as_xyz
'x,y,z'
loop_
_atom_site_label
_atom_site_type_symbol
_atom_site_fract_x
_atom_site_fract_y
_atom_site_fract_z
Sb1 Sb 0.750 0.750 0.750
Sb2 Sb 0.250 0.250 0.250
Fe1 Fe 0.000 0.000 0.000
Pd1 Pd 0.500 0.500 0.500
```

Properties
As for the density of states at the Fermi level: 4.07 states/eV per cell. Its uncorrected formation energy is 0.2200 eV/atom.

=====

Here is a geometry-optimized TaFe2Re structure from Alexandria. Energies are from GGA-PBE.

```
data_TaFe2Re
_chemical_formula_sum 'Ta2 Fe4 Re2'
_symmetry_space_group_name_H-M 'P 1'
_symmetry_Int_Tables_number 1
_cell_length_a 3.643
_cell_length_b 3.643
_cell_length_c 9.734
_cell_angle_alpha 79.21
_cell_angle_beta 79.21
_cell_angle_gamma 90.00
loop_
_symmetry_equiv_pos_as_xyz
'x,y,z'
loop_
_atom_site_label
_atom_site_type_symbol
_atom_site_fract_x
_atom_site_fract_y
_atom_site_fract_z
Ta1 Ta 0.250 0.750 0.500
Ta2 Ta 0.500 0.500 0.000
Fe1 Fe 0.375 0.361 0.750
Fe2 Fe 0.639 0.125 0.250
Fe3 Fe 0.875 0.889 0.750
Fe4 Fe 0.111 0.625 0.250
Re1 Re 0.000 0.000 0.000
Re2 Re 0.750 0.250 0.500
```

Properties
The value obtained for the formation energy is 0.65 eV per atom. As for the density of states at the Fermi level: 6.20 states/eV per cell.

=====

Here is a geometry-optimized PrGdDyGa structure from Alexandria. Energies are from GGA-PBE.

```
data_PrGdDyGa
_chemical_formula_sum 'Pr1 Gd1 Dy1 Ga1'
_symmetry_space_group_name_H-M 'P 1'
_symmetry_Int_Tables_number 1
_cell_length_a 5.412
_cell_length_b 5.412
_cell_length_c 5.412
_cell_angle_alpha 60.00
_cell_angle_beta 60.00
_cell_angle_gamma 60.00
loop_
_symmetry_equiv_pos_as_xyz
'x,y,z'
loop_
_atom_site_label
_atom_site_type_symbol
_atom_site_fract_x
_atom_site_fract_y
_atom_site_fract_z
Ga1 Ga 0.250 0.250 0.250
Gd1 Gd 0.500 0.500 0.500
Pr1 Pr 0.000 0.000 0.000
Dy1 Dy 0.750 0.750 0.750
```

Properties
The value obtained for the formation energy is -0.10 eV per atom. As for the density of states at the Fermi level: 4.74 states/eV per cell.